This record from the Alexandria database describes a geometry-optimized K2Mg2S3O12 structure. The functional is PBEsol.

```
K2Mg2S3O12
1.0
9.942 0.000 0.000
0.000 9.942 0.000
0.000 0.000 9.942
K Mg S O
8 8 12 48
Direct
0.201 0.299 0.701
0.299 0.701 0.201
0.701 0.201 0.299
0.799 0.799 0.799
0.433 0.067 0.933
0.067 0.933 0.433
0.933 0.433 0.067
0.567 0.567 0.567
0.151 0.651 0.849
0.085 0.085 0.085
0.415 0.915 0.585
0.585 0.415 0.915
0.915 0.585 0.415
0.349 0.349 0.349
0.849 0.151 0.651
0.651 0.849 0.151
0.466 0.731 0.874
0.269 0.374 0.034
0.374 0.034 0.269
0.034 0.269 0.374
0.874 0.466 0.731
0.731 0.874 0.466
0.231 0.626 0.534
0.126 0.966 0.769
0.626 0.534 0.231
0.769 0.126 0.966
0.966 0.769 0.126
0.534 0.231 0.626
0.501 0.590 0.848
0.001 0.910 0.152
0.499 0.090 0.652
0.910 0.152 0.001
0.652 0.499 0.090
0.152 0.001 0.910
0.590 0.848 0.501
0.848 0.501 0.590
0.090 0.652 0.499
0.410 0.348 0.999
0.348 0.999 0.410
0.999 0.410 0.348
0.476 0.944 0.209
0.976 0.556 0.791
0.524 0.444 0.291
0.556 0.791 0.976
0.291 0.524 0.444
0.791 0.976 0.556
0.579 0.675 0.243
0.944 0.209 0.476
0.444 0.291 0.524
0.056 0.709 0.024
0.709 0.024 0.056
0.024 0.056 0.709
0.325 0.743 0.921
0.825 0.757 0.079
0.675 0.243 0.579
0.757 0.079 0.825
0.014 0.192 0.247
0.247 0.014 0.192
0.192 0.247 0.014
0.308 0.753 0.514
0.747 0.486 0.808
0.808 0.747 0.486
0.253 0.986 0.692
0.753 0.514 0.308
0.692 0.253 0.986
0.514 0.308 0.753
0.986 0.692 0.253
0.486 0.808 0.747
0.175 0.257 0.421
0.421 0.175 0.257
0.257 0.421 0.175
0.243 0.579 0.675
0.921 0.325 0.743
0.743 0.921 0.325
0.079 0.825 0.757
0.209 0.476 0.944
```

Calculated values
E_form (uncorrected): -1994 meV per atom
ρ: 2.81 g/cm3
uncorrected energy: -478.92 eV per cell
D(E_F): 0.00 states/eV/f.u.